This record from the Alexandria database describes a geometry-optimized Dy5Y2Th structure. The functional is PBE.

```
Dy5Y2Th
1.0
7.111 0.000 0.000
0.000 14.245 0.000
0.000 0.000 5.031
Dy Y Th
10 4 2
direct
0.000 0.000 0.000 Dy
0.002 0.251 0.000 Dy
0.246 0.377 0.500 Dy
0.254 0.877 0.500 Dy
0.498 0.751 0.000 Dy
0.500 0.500 0.000 Dy
0.502 0.249 0.000 Dy
0.746 0.123 0.500 Dy
0.754 0.623 0.500 Dy
0.998 0.749 0.000 Dy
0.245 0.623 0.500 Y
0.255 0.123 0.500 Y
0.745 0.877 0.500 Y
0.755 0.377 0.500 Y
0.000 0.500 0.000 Th
0.500 0.000 0.000 Th
```

Its total DFT energy (no corrections) is -5.3910 eV per atom. For the volume, the calculation gives 31.85 Å³ per atom. The density of states at the Fermi level is 11.74 states/eV/f.u. The space group is No. 55. The calculation puts the energy above the most stable polymorph in this dataset at 0 meV/atom. The density is 8.0 g/cm³. The calculation puts the formation enthalpy at 0 K at 0.03 eV per atom.